# SrMg2Rh

A relaxed SrMg2Rh crystal (GGA-PBE, Alexandria via LeMat-Bulk). Values from VASP.

Fermi-level density of states ... 2.66 states/eV per cell
ρ ... 3824 kg/m³
Space-group type ... No. 166
Total magnetization ... 0.000 μB per cell
Formation energy ... -0.2023 eV per atom

Structure (Quantum ESPRESSO input):
```
&SYSTEM
  ibrav = 0, nat = 4, ntyp = 3
/
ATOMIC_SPECIES
Sr 87.62 Sr.upf
Mg 24.30 Mg.upf
Rh 102.91 Rh.upf
CELL_PARAMETERS angstrom
2.2423 1.2946 5.9624
-2.2423 1.2946 5.9624
0.0000 -2.5892 5.9624
ATOMIC_POSITIONS angstrom
Sr 0.0000 0.0000 0.0000
Mg 0.0000 0.0000 3.6475
Mg 0.0000 0.0000 14.2398
Rh 0.0000 0.0000 8.9437
```



# Sr2MgRh

A relaxed Sr2MgRh crystal (GGA-PBE, Alexandria via LeMat-Bulk). Values from VASP.

Fermi-level density of states ... 3.73 states/eV per cell
ρ ... 3589 kg/m³
Space-group type ... No. 8
Total magnetization ... 0.000 μB per cell
Formation energy ... -0.2326 eV per atom

Structure (Quantum ESPRESSO input):
```
&SYSTEM
  ibrav = 0, nat = 4, ntyp = 3
/
ATOMIC_SPECIES
Sr 87.62 Sr.upf
Mg 24.30 Mg.upf
Rh 102.91 Rh.upf
CELL_PARAMETERS angstrom
3.9256 -2.2581 0.0000
3.9256 2.2581 0.0000
-2.5810 0.0000 7.8935
ATOMIC_POSITIONS angstrom
Sr 0.0000 0.0000 0.0000
Sr 0.0007 0.0000 4.1149
Mg 2.6130 0.0000 2.0566
Rh 5.2263 0.0000 2.0717
```



# Sr2MgRh

A relaxed Sr2MgRh crystal (GGA-PBE, Alexandria via LeMat-Bulk). Values from VASP.

Fermi-level density of states ... 2.62 states/eV per cell
ρ ... 3779 kg/m³
Space-group type ... No. 12
Total magnetization ... 0.000 μB per cell
Formation energy ... 0.0374 eV per atom

Structure (Quantum ESPRESSO input):
```
&SYSTEM
  ibrav = 0, nat = 4, ntyp = 3
/
ATOMIC_SPECIES
Sr 87.62 Sr.upf
Mg 24.30 Mg.upf
Rh 102.91 Rh.upf
CELL_PARAMETERS angstrom
3.9206 -1.8254 0.0000
3.9206 1.8254 0.0000
-1.4199 0.0000 9.2842
ATOMIC_POSITIONS angstrom
Sr 1.5822 0.0000 1.7495
Sr 4.8391 0.0000 7.5348
Mg -0.7099 0.0000 4.6421
Rh 3.9206 0.0000 0.0000
```



# Sr2MgRh

A relaxed Sr2MgRh crystal (GGA-PBE, Alexandria via LeMat-Bulk). Values from VASP.

Fermi-level density of states ... 2.72 states/eV per cell
ρ ... 4120 kg/m³
Space-group type ... No. 44
Total magnetization ... 0.000 μB per cell
Formation energy ... -0.1236 eV per atom

Structure (Quantum ESPRESSO input):
```
&SYSTEM
  ibrav = 0, nat = 4, ntyp = 3
/
ATOMIC_SPECIES
Sr 87.62 Sr.upf
Mg 24.30 Mg.upf
Rh 102.91 Rh.upf
CELL_PARAMETERS angstrom
-1.8390 2.7322 6.0659
1.8390 -2.7322 6.0659
1.8390 2.7322 -6.0659
ATOMIC_POSITIONS angstrom
Sr 0.0000 0.0000 0.0000
Sr 0.0000 2.7322 2.3482
Mg 1.8390 0.0000 3.9836
Rh 0.0000 0.0000 5.8943
```



# Sr2MgRh

A relaxed Sr2MgRh crystal (GGA-PBE, Alexandria via LeMat-Bulk). Values from VASP.

Fermi-level density of states ... 3.79 states/eV per cell
ρ ... 4172 kg/m³
Space-group type ... No. 25
Total magnetization ... 0.000 μB per cell
Formation energy ... -0.1170 eV per atom

Structure (Quantum ESPRESSO input):
```
&SYSTEM
  ibrav = 0, nat = 4, ntyp = 3
/
ATOMIC_SPECIES
Sr 87.62 Sr.upf
Mg 24.30 Mg.upf
Rh 102.91 Rh.upf
CELL_PARAMETERS angstrom
3.6323 0.0000 0.0000
0.0000 3.6827 0.0000
0.0000 0.0000 8.9987
ATOMIC_POSITIONS angstrom
Sr 0.0000 0.0000 0.0000
Sr 1.8162 1.8414 3.5951
Mg 1.8162 1.8414 6.6534
Rh 0.0000 0.0000 5.7105
```



# Sr2MgRh

A relaxed Sr2MgRh crystal (GGA-PBE, Alexandria via LeMat-Bulk). Values from VASP.

Fermi-level density of states ... 2.29 states/eV per cell
ρ ... 4424 kg/m³
Space-group type ... No. 123
Total magnetization ... 0.000 μB per cell
Formation energy ... 0.0029 eV per atom

Structure (Quantum ESPRESSO input):
```
&SYSTEM
  ibrav = 0, nat = 4, ntyp = 3
/
ATOMIC_SPECIES
Sr 87.62 Sr.upf
Mg 24.30 Mg.upf
Rh 102.91 Rh.upf
CELL_PARAMETERS angstrom
5.1953 0.0000 0.0000
0.0000 5.1953 0.0000
0.0000 0.0000 4.2056
ATOMIC_POSITIONS angstrom
Sr 0.0000 2.5976 0.0000
Sr 2.5976 0.0000 0.0000
Mg 0.0000 0.0000 2.1028
Rh 2.5976 2.5976 2.1028
```